A plane-wave DFT calculation with PBE-GGA was carried out for a geometry-optimized Ac7CoPb4 structure.

Calculated values
Calculated total energy ... -4.45 eV/atom
Total magnetization ... 0.000 Bohr magnetons per cell

Structure (CIF):
```
data_Ac7CoPb4
_chemical_formula_sum 'Ac14 Co2 Pb8'
_cell_length_a 16.963
_cell_length_b 5.695
_cell_length_c 12.095
_cell_angle_alpha 90.00
_cell_angle_beta 125.29
_cell_angle_gamma 90.00
_space_group_name_H-M_alt 'C 1 2/m 1'
_space_group_IT_number 12
loop_
_space_group_symop_operation_xyz
'x,y,z'
'-x,-y,-z'
'-x,y,-z'
'x,-y,z'
'x+1/2,y+1/2,z'
'-x+1/2,-y+1/2,-z'
'-x+1/2,y+1/2,-z'
'x+1/2,-y+1/2,z'
loop_
_atom_site_label
_atom_site_type_symbol
_atom_site_fract_x
_atom_site_fract_y
_atom_site_fract_z
_atom_site_occupancy
Ac1 Ac 0.000 0.000 0.000 1
Ac2 Ac 0.076 0.500 0.263 1
Ac3 Ac 0.139 0.000 0.543 1
Ac4 Ac 0.213 0.500 0.869 1
Co1 Co 0.000 0.500 0.000 1
Pb1 Pb 0.077 0.000 0.777 1
Pb2 Pb 0.227 0.000 0.348 1
```



A plane-wave DFT calculation with PBE-GGA was carried out for a geometry-optimized Ac12Co2Pb5 structure.

Calculated values
Calculated total energy ... -4.53 eV/atom
Total magnetization ... 1.941 Bohr magnetons per cell

Structure (CIF):
```
data_Ac12Co2Pb5
_chemical_formula_sum 'Ac24 Co4 Pb10'
_cell_length_a 18.916
_cell_length_b 8.416
_cell_length_c 10.533
_cell_angle_alpha 90.00
_cell_angle_beta 106.37
_cell_angle_gamma 90.00
_space_group_name_H-M_alt 'C 1 2/m 1'
_space_group_IT_number 12
loop_
_space_group_symop_operation_xyz
'x,y,z'
'-x,-y,-z'
'-x,y,-z'
'x,-y,z'
'x+1/2,y+1/2,z'
'-x+1/2,-y+1/2,-z'
'-x+1/2,y+1/2,-z'
'x+1/2,-y+1/2,z'
loop_
_atom_site_label
_atom_site_type_symbol
_atom_site_fract_x
_atom_site_fract_y
_atom_site_fract_z
_atom_site_occupancy
Ac1 Ac 0.002 0.000 0.207 1
Ac2 Ac 0.004 0.500 0.826 1
Ac3 Ac 0.146 0.249 0.570 1
Ac4 Ac 0.158 0.243 0.082 1
Co1 Co 0.000 0.234 0.000 1
Pb1 Pb 0.000 0.500 0.500 1
Pb2 Pb 0.190 0.000 0.836 1
Pb3 Pb 0.202 0.000 0.362 1
```



A plane-wave DFT calculation with PBE-GGA was carried out for a geometry-optimized Ac7Co2Pb3 structure.

Calculated values
Calculated total energy ... -4.79 eV/atom
Total magnetization ... 0.000 Bohr magnetons per cell

Structure (CIF):
```
data_Ac7Co2Pb3
_chemical_formula_sum 'Ac14 Co4 Pb6'
_cell_length_a 5.530
_cell_length_b 28.157
_cell_length_c 5.330
_cell_angle_alpha 90.00
_cell_angle_beta 90.00
_cell_angle_gamma 90.00
_space_group_name_H-M_alt 'C m m m'
_space_group_IT_number 65
_space_group_name_Hall '-C 2 2'
loop_
_atom_site_label
_atom_site_type_symbol
_atom_site_fract_x
_atom_site_fract_y
_atom_site_fract_z
_atom_site_occupancy
Ac1 Ac 0.000 0.000 0.000 1
Ac2 Ac 0.000 0.097 0.500 1
Ac3 Ac 0.000 0.205 0.000 1
Ac4 Ac 0.000 0.398 0.000 1
Co1 Co 0.000 0.100 0.000 1
Pb1 Pb 0.000 0.308 0.500 1
Pb2 Pb 0.000 0.500 0.500 1
```



A plane-wave DFT calculation with PBE-GGA was carried out for a geometry-optimized Ac6CoPtPb2 structure.

Calculated values
Calculated total energy ... -4.95 eV/atom
Total magnetization ... 0.000 Bohr magnetons per cell

Structure (CIF):
```
data_Ac6CoPtPb2
_chemical_formula_sum 'Ac36 Co6 Pt6 Pb12'
_cell_length_a 8.0937
_cell_length_b 8.0937
_cell_length_c 38.0974
_cell_angle_alpha 90.00
_cell_angle_beta 90.00
_cell_angle_gamma 120.00
_space_group_name_H-M_alt 'R -3 m'
_space_group_IT_number 166
_space_group_name_Hall '-R 3 2"'
loop_
_atom_site_label
_atom_site_type_symbol
_atom_site_fract_x
_atom_site_fract_y
_atom_site_fract_z
_atom_site_occupancy
Ac1 Ac 0.0061 0.5030 0.2091 1
Ac2 Ac 0.0266 0.5133 0.3713 1
Co1 Co 0.0000 0.0000 0.0000 1
Co2 Co 0.0000 0.0000 0.5000 1
Pt1 Pt 0.0000 0.0000 0.0777 1
Pb1 Pb 0.0000 0.0000 0.2080 1
Pb2 Pb 0.0000 0.0000 0.3765 1
```



DFT formation energy for the records above, in order: -0.22, -0.22, -0.28, -0.43 eV per atom